No. 1
{
  "formula": "Sm2Mn2Cu15",
  "functional": "PBE-GGA",
  "state": "optimized geometry",
  "spacegroup": "R-3m, No. 166",
  "crystal_system": "trigonal",
  "delta_e_f_ev_per_atom": -0.065,
  "lattice": [[-4.956, 2.905, -3.085], [-4.758, -3.823, 2.294], [-1.875, 3.866, 4.905]],
  "species": ["Cu", "Cu", "Cu", "Cu", "Cu", "Cu", "Cu", "Cu", "Cu", "Cu", "Cu", "Cu", "Cu", "Cu", "Cu", "Sm", "Sm", "Mn", "Mn"],
  "frac_coords": [[0.653, 0.653, 0.153], [0.293, 0.707, 0.000], [0.847, 0.347, 0.347], [0.000, 0.000, 0.500], [0.707, 0.293, 0.000], [0.000, 0.293, 0.707], [0.293, 0.000, 0.707], [0.000, 0.500, 0.000], [0.653, 0.153, 0.653], [0.707, 0.000, 0.293], [0.000, 0.707, 0.293], [0.347, 0.347, 0.847], [0.153, 0.653, 0.653], [0.347, 0.847, 0.347], [0.500, 0.000, 0.000], [0.343, 0.343, 0.343], [0.657, 0.657, 0.657], [0.098, 0.098, 0.098], [0.902, 0.902, 0.902]]
}

No. 2
{
  "formula": "YSiC",
  "functional": "PBE-GGA",
  "state": "optimized geometry",
  "spacegroup": "C2/m, No. 12",
  "crystal_system": "monoclinic",
  "e_form_raw_ev_per_atom": -0.052,
  "lattice": [[-1.437, -1.541, -3.406], [6.251, 0.437, -0.480], [0.251, -4.717, 2.028]],
  "species": ["Y", "Y", "C", "C", "Si", "Si"],
  "frac_coords": [[0.193, 0.387, 0.744], [0.807, 0.613, 0.256], [0.197, 0.394, 0.242], [0.803, 0.606, 0.758], [0.047, 0.095, 0.228], [0.953, 0.905, 0.772]]
}

No. 3
{
  "formula": "Ac6TbEr2",
  "functional": "PBE-GGA",
  "state": "optimized geometry",
  "spacegroup": "C2/c, No. 15",
  "crystal_system": "monoclinic",
  "delta_e_f_ev_per_atom": 0.168,
  "lattice": [[-5.041, 2.782, -8.227], [-5.613, -6.411, -9.323], [-11.862, -1.814, -3.940]],
  "species": ["Ac", "Ac", "Ac", "Ac", "Ac", "Ac", "Ac", "Ac", "Ac", "Ac", "Ac", "Ac", "Tb", "Tb", "Er", "Er", "Er", "Er"],
  "frac_coords": [[0.746, 0.356, 0.915], [0.577, 0.706, 0.093], [0.908, 0.446, 0.314], [0.423, 0.294, 0.907], [0.408, 0.314, 0.446], [0.923, 0.907, 0.294], [0.254, 0.644, 0.085], [0.592, 0.686, 0.554], [0.077, 0.093, 0.706], [0.246, 0.915, 0.356], [0.754, 0.085, 0.644], [0.092, 0.554, 0.686], [0.750, 0.897, 0.103], [0.250, 0.103, 0.897], [0.415, 0.139, 0.296], [0.915, 0.296, 0.139], [0.085, 0.704, 0.861], [0.585, 0.861, 0.704]]
}

No. 4
{
  "formula": "Te2PtW",
  "functional": "PBE-GGA",
  "state": "optimized geometry",
  "spacegroup": "R-3m, No. 166",
  "crystal_system": "trigonal",
  "e_form_raw_ev_per_atom": 0.364,
  "de_polymorph_kj_per_mol_fu": 121,
  "lattice": [[1.991, 0.000, 8.839], [-0.995, 1.724, 8.839], [-0.995, -1.724, 8.839]],
  "species": ["Te", "Te", "W", "Pt"],
  "frac_coords": [[0.096, 0.096, 0.096], [0.904, 0.904, 0.904], [0.500, 0.500, 0.500], [0.000, 0.000, 0.000]]
}

No. 5
{
  "formula": "MnCuCSBr",
  "functional": "PBE-GGA",
  "state": "optimized geometry",
  "spacegroup": "P1, No. 1",
  "crystal_system": "triclinic",
  "e_form_raw_ev_per_atom": 0.148,
  "de_polymorph_kj_per_mol_fu": 17,
  "lattice": [[-1.529, -0.741, -3.283], [3.422, -1.113, -3.419], [0.198, -6.421, -0.725]],
  "species": ["C", "Br", "Mn", "S", "Cu"],
  "frac_coords": [[0.993, 0.446, 0.953], [0.274, 0.405, 0.435], [0.218, 0.130, 0.819], [0.827, 0.824, 0.907], [0.510, 0.299, 0.064]]
}

No. 6
{
  "formula": "CsMn3Cl",
  "functional": "PBE-GGA",
  "state": "optimized geometry",
  "spacegroup": "Pm-3m, No. 221",
  "crystal_system": "cubic",
  "e_form_raw_ev_per_atom": 2.031,
  "de_polymorph_kj_per_mol_fu": 429,
  "lattice": [[-1.076, -3.415, -4.828], [5.820, -1.483, -0.248], [-1.050, -4.719, 3.572]],
  "species": ["Cs", "Cl", "Mn", "Mn", "Mn"],
  "frac_coords": [[0.000, 0.000, 0.000], [0.500, 0.500, 0.500], [0.000, 0.500, 0.000], [0.000, 0.000, 0.500], [0.500, 0.000, 0.000]]
}

| no. | Fermi-level density of states (states/eV/atom) |
| --- | --- |
| 1 | 0.600 |
| 2 | 0.411 |
| 3 | 1.621 |
| 4 | 0.666 |
| 5 | 0.162 |
| 6 | 1.696 |